(1)
Below is Ru2WSe after structural relaxation, with properties calculated at the PBE-GGA level.

It has space group R-3m (No. 166, hexagonal axes), with a = 2.8788 Å, b = 2.8788 Å, c = 25.3880 Å, α = 90.00°, β = 90.00° and γ = 120.00°. The distinct sites, in fractional coordinates, are Ru at (0.0000, 0.0000, 0.2481), W at (0.0000, 0.0000, 0.0000) and Se at (0.0000, 0.0000, 0.5000).

The value obtained for the density of states at the Fermi level is 9.091 states/eV/cell. The energy relative to the elements, uncorrected comes out at 192 meV per atom. As for the crystal system: trigonal. The value obtained for the uncorrected energy is -8.5554 eV/atom. As for the density: 12.7 g/cm³. As for the total moment: 0.0000 μB/atom.

***

(2)
Below is NdTh2Os after structural relaxation, with properties calculated at the PBE-GGA level.

It has space group R-3m (No. 166, hexagonal axes), with a = 3.9524 Å, b = 3.9524 Å, c = 30.9580 Å, α = 90.00°, β = 90.00° and γ = 120.00°. The distinct sites, in fractional coordinates, are Nd at (0.0000, 0.0000, 0.0000), Th at (0.0000, 0.0000, 0.1142) and Os at (0.0000, 0.0000, 0.5000).

The value obtained for the density of states at the Fermi level is 17.760 states/eV/cell. As for the crystal system: trigonal. The value obtained for the uncorrected energy is -7.5770 eV/atom. As for the density: 9.5 g/cm³. As for the total moment: 0.0002 μB/atom. Its energy above the most stable polymorph in this dataset is 0.219 eV per atom. The formation energy from the elements comes out at 0.132 eV/atom.

***

(3)
Below is ErZrAlRe after structural relaxation, with properties calculated at the PBE-GGA level.

It has space group F-43m (No. 216), with a = 6.816 Å, b = 6.816 Å, c = 6.816 Å, α = 90.00°, β = 90.00° and γ = 90.00°. The distinct sites, in fractional coordinates, are Er at (0.000, 0.000, 0.000), Zr at (0.000, 0.000, 0.500), Al at (0.250, 0.250, 0.250) and Re at (0.250, 0.250, 0.750).

The value obtained for the density of states at the Fermi level is 6.632 states/eV/cell. As for the crystal system: cubic. The value obtained for the uncorrected energy is -7.5194 eV/atom. As for the density: 9.9 g/cm³. As for the total moment: 0.0000 μB/atom. The formation energy from the elements comes out at -0.194 eV/atom.

***

(4)
Below is BeAgSeN2 after structural relaxation, with properties calculated at the PBE-GGA level.

It has space group P4/mmm (No. 123), with a = 3.569 Å, b = 3.569 Å, c = 5.754 Å, α = 90.00°, β = 90.00° and γ = 90.00°. The distinct sites, in fractional coordinates, are Be at (0.000, 0.000, 0.000), Ag at (0.500, 0.500, 0.500), Se at (0.000, 0.000, 0.500) and N at (0.000, 0.500, 0.000).

The value obtained for the density of states at the Fermi level is 1.955 states/eV/cell. The energy relative to the elements, uncorrected comes out at 1161 meV per atom. As for the crystal system: tetragonal. The value obtained for the uncorrected energy is -4.1811 eV/atom. As for the density: 5.1 g/cm³. As for the total moment: 0.4547 μB/atom. Its energy above the most stable polymorph in this dataset is 0.000 eV per atom.

***

(5)
Below is Al2PW after structural relaxation, with properties calculated at the PBE-GGA level.

It has space group Cm (No. 8), with a = 8.816 Å, b = 3.000 Å, c = 4.697 Å, α = 90.00°, β = 95.28° and γ = 90.00°. The distinct sites, in fractional coordinates, are Al at (0.000, 0.000, 0.000), Al at (0.244, 0.500, 0.248), P at (0.202, 0.000, 0.676) and W at (0.482, 0.000, 0.500).

The value obtained for the density of states at the Fermi level is 4.735 states/eV/cell. As for the crystal system: monoclinic. The value obtained for the uncorrected energy is -6.4769 eV/atom. As for the density: 7.2 g/cm³. As for the total moment: 0.0000 μB/atom. The formation energy from the elements comes out at -0.015 eV/atom.

***

(6)
Below is NaLa2Ge2 after structural relaxation, with properties calculated at the PBE-GGA level.

It has space group I4/mmm (No. 139), with a = 5.154 Å, b = 5.154 Å, c = 11.989 Å, α = 90.00°, β = 90.00° and γ = 90.00°. The distinct sites, in fractional coordinates, are Na at (0.000, 0.000, 0.000), La at (0.000, 0.500, 0.250) and Ge at (0.000, 0.000, 0.395).

The value obtained for the density of states at the Fermi level is 12.130 states/eV/cell. As for the crystal system: tetragonal. The value obtained for the uncorrected energy is -4.2794 eV/atom. As for the density: 4.7 g/cm³. As for the total moment: 0.0000 μB/atom. Its energy above the most stable polymorph in this dataset is 0.440 eV per atom. The formation energy from the elements comes out at -0.198 eV/atom.

***

(7)
Below is Ti5Al2Os2W after structural relaxation, with properties calculated at the PBE-GGA level.

It has space group P4/mbm (No. 127), with a = 10.505 Å, b = 10.505 Å, c = 3.140 Å, α = 90.00°, β = 90.00° and γ = 90.00°. The distinct sites, in fractional coordinates, are Ti at (0.000, 0.500, 0.000), Ti at (0.069, 0.191, 0.000), Al at (0.173, 0.673, 0.500), Os at (0.135, 0.365, 0.500) and W at (0.000, 0.000, 0.500).

The value obtained for the density of states at the Fermi level is 14.430 states/eV/cell. As for the crystal system: tetragonal. The value obtained for the uncorrected energy is -8.3002 eV/atom. As for the density: 8.2 g/cm³. As for the total moment: 0.0000 μB/atom. The formation energy from the elements comes out at -0.063 eV/atom.

***

(8)
Below is ThIn3Au4 after structural relaxation, with properties calculated at the PBE-GGA level.

It has space group R-3m (No. 166, hexagonal axes), with a = 4.6835 Å, b = 4.6835 Å, c = 28.3823 Å, α = 90.00°, β = 90.00° and γ = 120.00°. The distinct sites, in fractional coordinates, are Th at (0.0000, 0.0000, 0.0000), In at (0.0000, 0.0000, 0.2470), In at (0.0000, 0.0000, 0.5000), Au at (0.0000, 0.0000, 0.1240) and Au at (0.0000, 0.0000, 0.3859).

The value obtained for the density of states at the Fermi level is 11.646 states/eV/cell. As for the crystal system: trigonal. The value obtained for the uncorrected energy is -3.9748 eV/atom. As for the density: 12.6 g/cm³. As for the total moment: 0.0000 μB/atom. The formation energy from the elements comes out at -0.382 eV/atom.